A relaxed NbAlPd2 crystal. Source: the Alexandria database, functional PBE.

Cell: 2.890 2.890 7.402 Å, 90.00 90.00 90.00°
Fractional positions:
1 Pd 0.000 0.000 0.220
2 Pd 0.000 0.000 0.780
3 Al 0.500 0.500 0.000
4 Nb 0.500 0.500 0.500

Results
volume: 15.5 Å³/atom
formation energy from the elements: -0.61 eV per atom


A relaxed ScReSe2 crystal. Source: the Alexandria database, functional PBE.

Cell: 6.131 6.131 6.131 Å, 145.25 145.25 49.96°
Fractional positions:
1 Re 0.500 0.500 0.000
2 Sc 0.750 0.250 0.500
3 Se 0.000 0.000 0.000
4 Se 0.250 0.750 0.500

Results
raw formation energy: 0.007 eV per atom
volume: 18.6 Å³/atom
ΔE to the lowest computed polymorph: 47.8 kJ per mole of atoms